ZnNi2Se GGA-PBE optimized geometry; polymorph energy (0 for the lowest one) = 195 meV/atom; formation energy (no corrections) = 0.129 eV per atom
1.0
7.983 0.024 0.014
7.425 2.934 0.014
7.425 1.425 2.564
Ni Se Zn
2 1 1
Direct
0.250 0.250 0.250
0.996 0.996 0.996
0.516 0.516 0.516
0.738 0.738 0.738

---

Cr2RuAu GGA-PBE optimized geometry; total DFT energy (no corrections) = -7.2168 eV per atom
1.0
6.797 0.000 0.000
0.000 6.797 0.000
3.398 3.398 2.652
Au Cr Ru
2 4 2
Direct
0.000 0.000 0.000
0.750 0.250 0.500
0.375 0.413 0.750
0.163 0.625 0.250
0.875 0.837 0.750
0.587 0.125 0.250
0.500 0.500 0.000
0.250 0.750 0.500

---

Number 1: density of states at the Fermi level 2.574 states/eV/f.u.. Number 2: density of states at the Fermi level 7.027 states/eV/f.u..